w:
{
  "formula": "Pr2SmHo",
  "functional": "PBE",
  "state": "relaxed",
  "lattice_angstrom": [[-2.581, 2.581, 5.152], [2.581, -2.581, 5.152], [2.581, 2.581, -5.152]],
  "species": ["Pr", "Pr", "Sm", "Ho"],
  "fractional_positions": [[0.000, 0.000, 0.000], [0.750, 0.250, 0.500], [0.250, 0.750, 0.500], [0.500, 0.500, 0.000]],
  "m_tot_mub_per_atom": 0.0000,
  "sg": "No. 119"
}

***

x:
{
  "formula": "Pr2SmHo",
  "functional": "PBE",
  "state": "relaxed",
  "lattice_angstrom": [[1.826, 1.054, 11.823], [-1.826, 1.054, 11.823], [0.000, -2.108, 11.823]],
  "species": ["Pr", "Pr", "Sm", "Ho"],
  "fractional_positions": [[0.249, 0.249, 0.249], [0.751, 0.751, 0.751], [0.000, 0.000, 0.000], [0.500, 0.500, 0.500]],
  "m_tot_mub_per_atom": 0.0000,
  "sg": "No. 166"
}

***

Stability summary: most stable x, least stable w.

***

w:
{
  "formula": "Pr2Sm3Ho8",
  "functional": "PBE",
  "state": "relaxed",
  "lattice_angstrom": [[10.356, -3.839, 0.000], [10.356, 3.839, 0.000], [-0.001, 0.000, 5.573]],
  "species": ["Pr", "Pr", "Sm", "Sm", "Sm", "Ho", "Ho", "Ho", "Ho", "Ho", "Ho", "Ho", "Ho"],
  "fractional_positions": [[0.241, 0.241, 0.499], [0.759, 0.759, 0.501], [0.000, 0.000, 0.500], [0.292, 0.708, 0.000], [0.708, 0.292, 0.000], [0.129, 0.129, 0.000], [0.181, 0.604, 0.500], [0.338, 0.338, 0.000], [0.396, 0.819, 0.500], [0.604, 0.181, 0.500], [0.662, 0.662, 0.000], [0.819, 0.396, 0.500], [0.871, 0.871, 0.000]],
  "m_tot_mub_per_atom": 0.0000,
  "sg": "No. 12"
}

***

x:
{
  "formula": "Pr2Sm3Ho8",
  "functional": "PBE",
  "state": "relaxed",
  "lattice_angstrom": [[7.352, -4.591, 0.000], [7.352, 4.591, 0.000], [-2.209, 0.000, 6.576]],
  "species": ["Pr", "Pr", "Sm", "Sm", "Sm", "Ho", "Ho", "Ho", "Ho", "Ho", "Ho", "Ho", "Ho"],
  "fractional_positions": [[0.220, 0.220, 0.420], [0.780, 0.780, 0.580], [0.000, 0.000, 0.000], [0.176, 0.824, 0.500], [0.824, 0.176, 0.500], [0.192, 0.192, 0.893], [0.200, 0.563, 0.828], [0.420, 0.420, 0.268], [0.437, 0.800, 0.172], [0.563, 0.200, 0.828], [0.580, 0.580, 0.732], [0.800, 0.437, 0.172], [0.808, 0.808, 0.107]],
  "m_tot_mub_per_atom": 0.0000,
  "sg": "No. 12"
}

***

Stability summary: most stable x, least stable w.

***

w:
{
  "formula": "Pr6SmHo4",
  "functional": "PBE",
  "state": "relaxed",
  "lattice_angstrom": [[-3.305, 3.305, 8.864], [3.305, -3.305, 8.864], [3.305, 3.305, -8.864]],
  "species": ["Pr", "Pr", "Pr", "Pr", "Pr", "Pr", "Sm", "Ho", "Ho", "Ho", "Ho"],
  "fractional_positions": [[0.000, 0.500, 0.500], [0.184, 0.184, 0.643], [0.459, 0.816, 0.000], [0.500, 0.000, 0.500], [0.541, 0.541, 0.357], [0.816, 0.459, 0.000], [0.000, 0.000, 0.000], [0.010, 0.641, 0.000], [0.359, 0.359, 0.369], [0.641, 0.010, 0.000], [0.990, 0.990, 0.631]],
  "m_tot_mub_per_atom": 0.0001,
  "sg": "No. 121"
}

***

x:
{
  "formula": "Pr6SmHo4",
  "functional": "PBE",
  "state": "relaxed",
  "lattice_angstrom": [[-3.423, 3.423, 8.298], [3.423, -3.423, 8.298], [3.423, 3.423, -8.298]],
  "species": ["Pr", "Pr", "Pr", "Pr", "Pr", "Pr", "Sm", "Ho", "Ho", "Ho", "Ho"],
  "fractional_positions": [[0.000, 0.500, 0.500], [0.014, 0.630, 0.000], [0.370, 0.370, 0.384], [0.500, 0.000, 0.500], [0.630, 0.014, 0.000], [0.986, 0.986, 0.616], [0.000, 0.000, 0.000], [0.210, 0.210, 0.650], [0.440, 0.790, 0.000], [0.560, 0.560, 0.350], [0.790, 0.440, 0.000]],
  "m_tot_mub_per_atom": 0.0000,
  "sg": "No. 121"
}

***

Stability summary: most stable w, least stable x.